Material: CaRu2SeN
Method: DFT, GGA-PBE
State: optimized geometry

Calculated values
Crystal system = tetragonal
Raw formation energy = 2.139 eV per atom
Density of states at the Fermi level = 1.442 states/eV/atom
V = 20.84 Å³/atom

Lattice parameters (Å, degrees): 5.0952 5.0952 4.0138 90.00 90.00 90.00
Sites, in units of the cell vectors:
Ca 0.0000 0.0000 0.0000
Ru 0.0000 0.5000 0.0000
Ru 0.5000 0.0000 0.0000
Se 0.5000 0.5000 0.5000
N 0.0000 0.0000 0.5000